1.
The following is a PBE with a Hubbard U calculation of a relaxed NaCoNi2F crystal, from the Alexandria database.

Cell: 4.270 4.270 4.367 Å, 90.00 90.00 90.00°
Sites, in units of the cell vectors:
Na: 0.000 0.000 0.000
Co: 0.500 0.500 0.000
Ni: 0.000 0.500 0.500
Ni: 0.500 0.000 0.500
F: 0.500 0.500 0.500

---

2.
The following is a PBE with a Hubbard U calculation of a relaxed NaCoO2F crystal, from the Alexandria database.

Cell: 3.635 3.635 4.333 Å, 90.00 90.00 90.00°
Sites, in units of the cell vectors:
Na: 0.000 0.000 0.000
Co: 0.500 0.500 0.500
O: 0.000 0.500 0.500
O: 0.500 0.000 0.500
F: 0.500 0.500 0.000

---

3.
The following is a PBE with a Hubbard U calculation of a relaxed NaCoO2F crystal, from the Alexandria database.

Cell: 4.101 4.101 3.998 Å, 90.00 90.00 90.00°
Sites, in units of the cell vectors:
Na: 0.000 0.000 0.000
Co: 0.500 0.500 0.500
O: 0.000 0.500 0.000
O: 0.500 0.000 0.000
F: 0.000 0.000 0.500

---

4.
The following is a PBE with a Hubbard U calculation of a relaxed NaCoSeO6F crystal, from the Alexandria database.

Cell: 5.697 6.782 7.795 Å, 90.00 95.70 90.00°
Sites, in units of the cell vectors:
Na: 0.156 0.250 0.162
Na: 0.844 0.750 0.838
Co: 0.500 0.000 0.500
Co: 0.500 0.500 0.500
Se: 0.411 0.750 0.139
Se: 0.589 0.250 0.861
O: 0.221 0.750 0.967
O: 0.230 0.656 0.585
O: 0.230 0.844 0.585
O: 0.311 0.250 0.899
O: 0.355 0.548 0.261
O: 0.355 0.952 0.261
O: 0.645 0.048 0.739
O: 0.645 0.452 0.739
O: 0.689 0.750 0.101
O: 0.770 0.156 0.415
O: 0.770 0.344 0.415
O: 0.779 0.250 0.033
F: 0.316 0.250 0.483
F: 0.684 0.750 0.517

---

| no. | uncorrected energy (eV/atom) |
| --- | --- |
| 1 | -2.360 |
| 2 | -4.961 |
| 3 | -3.561 |
| 4 | -5.104 |